[1]
! Cs3BaCr2F9 | Alexandria via LeMat-Bulk | GGA+U | relaxed; values from VASP
&SYSTEM
  ibrav = 0, nat = 15, ntyp = 4
/
ATOMIC_SPECIES
Cs 132.91 Cs.upf
Ba 137.33 Ba.upf
Cr 52.00 Cr.upf
F 19.00 F.upf
ATOMIC_POSITIONS crystal
Cs 0.0000 0.0000 0.0000
Cs 0.3333 0.6667 0.6866
Cs 0.6667 0.3333 0.3134
Ba 0.0000 0.0000 0.5000
Cr 0.3333 0.6667 0.1458
Cr 0.6667 0.3333 0.8542
F 0.0000 0.5000 0.0000
F 0.1806 0.3612 0.3033
F 0.1806 0.8194 0.3033
F 0.3612 0.1806 0.6967
F 0.5000 0.0000 0.0000
F 0.5000 0.5000 0.0000
F 0.6388 0.8194 0.3033
F 0.8194 0.1806 0.6967
F 0.8194 0.6388 0.6967
CELL_PARAMETERS angstrom
6.4089 0.0000 0.0000
-3.2045 5.5503 0.0000
0.0000 0.0000 8.0448
! Raw total energy in eV per atom: -5.242

[2]
! CsBa2CrF8 | Alexandria via LeMat-Bulk | GGA+U | relaxed; values from VASP
&SYSTEM
  ibrav = 0, nat = 12, ntyp = 4
/
ATOMIC_SPECIES
Cs 132.91 Cs.upf
Ba 137.33 Ba.upf
Cr 52.00 Cr.upf
F 19.00 F.upf
ATOMIC_POSITIONS crystal
Cs 0.0000 0.0000 0.0000
Ba 0.5000 0.2609 0.5000
Ba 0.5000 0.7391 0.5000
Cr 0.0000 0.5000 0.0000
F 0.0732 0.3307 0.7799
F 0.0732 0.6693 0.7799
F 0.3746 0.5000 0.1978
F 0.4201 0.0000 0.7131
F 0.5799 0.0000 0.2869
F 0.6254 0.5000 0.8022
F 0.9268 0.3307 0.2201
F 0.9268 0.6693 0.2201
CELL_PARAMETERS angstrom
4.8096 0.0000 0.0000
0.0000 8.4598 0.0000
-1.0118 0.0000 5.6472
! Raw total energy in eV per atom: -5.536